{
  "formula": "Re2AsF",
  "functional": "PBE-GGA",
  "state": "optimized geometry",
  "cell": [[-5.6326, 2.8079, 1.7411], [-2.9043, -2.5677, -5.2549], [-4.9125, -2.0500, -0.3406]],
  "species": ["F", "As", "Re", "Re", "Re", "As", "Re", "F"],
  "frac_coords": [[0.2500, 0.7500, 0.5000], [0.7500, 0.2500, 0.5000], [0.5746, 0.1250, 0.2500], [0.3750, 0.4254, 0.7500], [0.8750, 0.8246, 0.7500], [0.0000, 0.0000, 0.0000], [0.1754, 0.6250, 0.2500], [0.5000, 0.5000, 0.0000]],
  "formation_energy_uncorrected_ev_per_atom": 0.662,
  "spacegroup": "I-42d (122)",
  "density_g_cm3": 13.602,
  "total_magnetization_mub_per_cell": 0.00,
  "relative_energy_mev_per_atom": 282
}